# MgNi2O2F2, optimized geometry, DFT PBE with a Hubbard U
data_MgNi2O2F2
_chemical_formula_sum 'Mg1 Ni2 O2 F2'
_space_group_name_H-M_alt 'P 1'
_space_group_IT_number 1
_cell_length_a 3.111
_cell_length_b 6.644
_cell_length_c 5.821
_cell_angle_alpha 39.38
_cell_angle_beta 74.50
_cell_angle_gamma 76.46
loop_
_space_group_symop_operation_xyz
'x,y,z'
loop_
_atom_site_label
_atom_site_type_symbol
_atom_site_fract_x
_atom_site_fract_y
_atom_site_fract_z
_atom_site_occupancy
F1 F 0.435 0.761 0.368 1
F2 F 0.565 0.239 0.632 1
O1 O 0.820 0.232 0.129 1
O2 O 0.180 0.768 0.871 1
Ni1 Ni 0.794 0.727 0.684 1
Ni2 Ni 0.206 0.273 0.316 1
Mg1 Mg 0.000 0.000 0.000 1
# Density = 4.78 g/cm3
# Total energy = -4.816 eV per atom
# SG = C2/m (12)